The following is a DFT calculation (GGA-PBE) of a relaxed ZrMn4V crystal.

Calculated values
Total moment, μB/f.u.: 3.02
Crystal system: cubic
Raw total energy, eV/atom: -9.142
D(E_F), states/eV/atom: 1.216
Symmetry: F-43m, No. 216
Formation enthalpy at 0 K, eV per atom: -0.08

Cell lengths 4.8325, 4.8325, 4.8325 Å; angles 60.00, 60.00, 60.00 degrees
With the nearest neighbours (Å) after each atom.
Atoms (fractional coordinates):
Mn  0.6257  0.6257  0.1230  6 Mn 2.40-2.43
Mn  0.6257  0.1230  0.6257  6 Mn 2.40-2.43
Mn  0.6257  0.6257  0.6257  6 Mn 2.40-2.43
Mn  0.1230  0.6257  0.6257  6 Mn 2.40-2.43
Zr  0.2500  0.2500  0.2500  12 Mn 2.83, 4 V 2.96
V  0.0000  0.0000  0.0000  12 Mn 2.83, 4 Zr 2.96

The following is a DFT calculation (GGA-PBE) of a relaxed CaSmU2As4 crystal.

Calculated values
Total moment, μB/f.u.: 4.74
Crystal system: tetragonal
Raw total energy, eV/atom: -7.013
D(E_F), states/eV/atom: 2.045
Symmetry: I-4m2, No. 119
Formation enthalpy at 0 K, eV per atom: -1.03

Cell lengths 5.8573, 5.8573, 7.2019 Å; angles 113.99, 113.99, 90.00 degrees
With the nearest neighbours (Å) after each atom.
Atoms (fractional coordinates):
Ca  0.5000  0.5000  0.0000  6 As 2.93-3.04
Sm  0.7500  0.2500  0.5000  6 As 2.93-3.01
U  0.2500  0.7500  0.5000  6 As 2.88-2.93
U  0.0000  0.0000  0.0000  6 As 2.86-2.93
As  0.0058  0.5058  0.0117  3 U 2.88-2.93, 2 Ca 2.93, 1 Sm 3.01
As  0.4942  0.9942  0.9883  3 U 2.88-2.93, 2 Ca 2.93, 1 Sm 3.01
As  0.7576  0.7576  0.5152  3 U 2.86-2.93, 2 Sm 2.93, 1 Ca 3.04
As  0.2424  0.2424  0.4848  3 U 2.86-2.93, 2 Sm 2.93, 1 Ca 3.04

The following is a DFT calculation (GGA-PBE) of a relaxed Cd2InHg2 crystal.

Calculated values
Total moment, μB/f.u.: 0.00
Crystal system: tetragonal
Raw total energy, eV/atom: -0.976
D(E_F), states/eV/atom: 0.402
Symmetry: I4/mmm, No. 139
Formation enthalpy at 0 K, eV per atom: 0.06

Cell lengths 4.3252, 4.3252, 7.7405 Å; angles 73.78, 73.78, 90.00 degrees
With the nearest neighbours (Å) after each atom.
Atoms (fractional coordinates):
Cd  0.7500  0.2500  0.5000  4 Hg 3.02, 4 Cd 3.06
Cd  0.2500  0.7500  0.5000  4 Hg 3.02, 4 Cd 3.06
Hg  0.3985  0.3985  0.2030  1 Hg 2.89, 4 Cd 3.02
Hg  0.6015  0.6015  0.7970  1 Hg 2.89, 4 Cd 3.02
In  0.0000  0.0000  0.0000  8 Hg 3.38